# 1
# MnReTc2

MnReTc2 after structural relaxation (PBE-GGA, the Alexandria database).

Geometry as CIF:
```
data_MnReTc2
_space_group_name_H-M_alt 'P 1'
_space_group_IT_number 1
_space_group_name_Hall 'P 1'
_cell_length_a 3.092
_cell_length_b 3.092
_cell_length_c 5.944
_cell_angle_alpha 90.00
_cell_angle_beta 90.00
_cell_angle_gamma 90.00
loop_
_atom_site_label
_atom_site_type_symbol
_atom_site_fract_x
_atom_site_fract_y
_atom_site_fract_z
Tc1 Tc 0.000 0.000 0.014
Tc2 Tc 0.000 0.000 0.486
Mn1 Mn 0.500 0.500 0.250
Re1 Re 0.500 0.500 0.750
```

Computed properties:
Symmetry: P4/mmm, No. 123
Calculated formation energy, meV per atom: 110
E_tot, eV per cell: -41.911
Crystal system: tetragonal

# 2
# CaHgRh

CaHgRh after structural relaxation (PBE-GGA, the Alexandria database).

Geometry as CIF:
```
data_CaHgRh
_space_group_name_H-M_alt 'P 1'
_space_group_IT_number 1
_space_group_name_Hall 'P 1'
_cell_length_a 5.803
_cell_length_b 7.411
_cell_length_c 5.963
_cell_angle_alpha 90.00
_cell_angle_beta 90.00
_cell_angle_gamma 90.00
loop_
_atom_site_label
_atom_site_type_symbol
_atom_site_fract_x
_atom_site_fract_y
_atom_site_fract_z
Rh1 Rh 0.500 0.000 0.318
Rh2 Rh 0.000 0.000 0.318
Rh3 Rh 0.000 0.500 0.818
Rh4 Rh 0.500 0.500 0.818
Ca1 Ca 0.750 0.352 0.322
Ca2 Ca 0.250 0.852 0.822
Ca3 Ca 0.250 0.648 0.322
Ca4 Ca 0.750 0.148 0.822
Hg1 Hg 0.750 0.749 0.069
Hg2 Hg 0.250 0.251 0.069
Hg3 Hg 0.250 0.249 0.569
Hg4 Hg 0.750 0.751 0.569
```

Computed properties:
Symmetry: Ima2, No. 46
Calculated formation energy, meV per atom: -379
E_tot, eV per cell: -43.172
Crystal system: orthorhombic

# 3
# Ac3Mg4Zn2

Ac3Mg4Zn2 after structural relaxation (PBE-GGA, the Alexandria database).

Geometry as CIF:
```
data_Ac3Mg4Zn2
_space_group_name_H-M_alt 'P 1'
_space_group_IT_number 1
_space_group_name_Hall 'P 1'
_cell_length_a 5.034
_cell_length_b 6.310
_cell_length_c 9.135
_cell_angle_alpha 93.13
_cell_angle_beta 90.00
_cell_angle_gamma 113.51
loop_
_atom_site_label
_atom_site_type_symbol
_atom_site_fract_x
_atom_site_fract_y
_atom_site_fract_z
Zn1 Zn 0.291 0.581 0.618
Zn2 Zn 0.709 0.419 0.382
Mg1 Mg 0.897 0.794 0.601
Mg2 Mg 0.292 0.584 0.911
Mg3 Mg 0.103 0.206 0.399
Mg4 Mg 0.708 0.416 0.089
Ac1 Ac 0.000 0.000 0.000
Ac2 Ac 0.606 0.211 0.700
Ac3 Ac 0.394 0.789 0.300
```

Computed properties:
Symmetry: C2/m, No. 12
Calculated formation energy, meV per atom: -101
E_tot, eV per cell: -22.157
Crystal system: monoclinic
Polymorph energy (0 for the lowest one), eV/atom: 0.013

# 4
# KNaCrN2

KNaCrN2 after structural relaxation (PBE-GGA, the Alexandria database).

Geometry as CIF:
```
data_KNaCrN2
_space_group_name_H-M_alt 'P 1'
_space_group_IT_number 1
_space_group_name_Hall 'P 1'
_cell_length_a 3.229
_cell_length_b 9.241
_cell_length_c 7.210
_cell_angle_alpha 96.58
_cell_angle_beta 90.00
_cell_angle_gamma 100.06
loop_
_atom_site_label
_atom_site_type_symbol
_atom_site_fract_x
_atom_site_fract_y
_atom_site_fract_z
K1 K 0.398 0.796 0.363
K2 K 0.602 0.204 0.637
N1 N 0.930 0.860 0.063
N2 N 0.451 0.902 0.732
N3 N 0.070 0.140 0.937
N4 N 0.549 0.098 0.268
Na1 Na 0.340 0.681 0.916
Na2 Na 0.660 0.319 0.084
Cr1 Cr 0.028 0.056 0.155
Cr2 Cr 0.972 0.944 0.845
```

Computed properties:
Symmetry: C2/m, No. 12
E_tot, eV per cell: -60.167
Crystal system: monoclinic
Formation energy without anion corrections, kJ/mol of formula units: -134.4

# 5
# In2Br3

In2Br3 after structural relaxation (PBE-GGA, the Alexandria database).

Geometry as CIF:
```
data_In2Br3
_space_group_name_H-M_alt 'P 1'
_space_group_IT_number 1
_space_group_name_Hall 'P 1'
_cell_length_a 9.068
_cell_length_b 7.899
_cell_length_c 8.002
_cell_angle_alpha 71.02
_cell_angle_beta 55.48
_cell_angle_gamma 54.97
loop_
_atom_site_label
_atom_site_type_symbol
_atom_site_fract_x
_atom_site_fract_y
_atom_site_fract_z
Br1 Br 0.943 0.195 0.401
Br2 Br 0.538 0.805 0.599
Br3 Br 0.593 0.695 0.099
Br4 Br 0.110 0.500 0.500
Br5 Br 0.387 0.305 0.901
Br6 Br 0.860 0.000 0.000
In1 In 0.384 0.087 0.305
In2 In 0.721 0.413 0.805
In3 In 0.939 0.587 0.195
In4 In 0.776 0.913 0.695
```

Computed properties:
Symmetry: Fdd2, No. 43
E_tot, eV per cell: -27.177
Crystal system: orthorhombic
Formation energy without anion corrections, kJ/mol of formula units: -298.4

# 6
# LiTaCu2S4

LiTaCu2S4 after structural relaxation (PBE-GGA, the Alexandria database).

Geometry as CIF:
```
data_LiTaCu2S4
_space_group_name_H-M_alt 'P 1'
_space_group_IT_number 1
_space_group_name_Hall 'P 1'
_cell_length_a 5.525
_cell_length_b 5.525
_cell_length_c 6.522
_cell_angle_alpha 115.05
_cell_angle_beta 115.05
_cell_angle_gamma 90.02
loop_
_atom_site_label
_atom_site_type_symbol
_atom_site_fract_x
_atom_site_fract_y
_atom_site_fract_z
S1 S 0.609 0.609 0.740
S2 S 0.131 0.131 0.740
S3 S 0.392 0.869 0.260
S4 S 0.869 0.392 0.260
Cu1 Cu 0.750 0.250 0.500
Cu2 Cu 0.250 0.750 0.500
Ta1 Ta 0.500 0.500 0.000
Li1 Li 0.000 0.000 0.001
```

Computed properties:
Symmetry: I-42m, No. 121
E_tot, eV per cell: -44.496
Crystal system: tetragonal
Formation energy without anion corrections, kJ/mol of formula units: -581.6

# 7
# Nd3YPt

Nd3YPt after structural relaxation (PBE-GGA, the Alexandria database).

Geometry as CIF:
```
data_Nd3YPt
_space_group_name_H-M_alt 'P 1'
_space_group_IT_number 1
_space_group_name_Hall 'P 1'
_cell_length_a 5.200
_cell_length_b 6.602
_cell_length_c 8.984
_cell_angle_alpha 96.68
_cell_angle_beta 90.00
_cell_angle_gamma 90.00
loop_
_atom_site_label
_atom_site_type_symbol
_atom_site_fract_x
_atom_site_fract_y
_atom_site_fract_z
Pt1 Pt 0.976 0.647 0.743
Pt2 Pt 0.476 0.706 0.158
Y1 Y 0.476 0.416 0.700
Y2 Y 0.976 0.937 0.201
Nd1 Nd 0.476 0.286 0.241
Nd2 Nd 0.976 0.497 0.432
Nd3 Nd 0.476 0.855 0.470
Nd4 Nd 0.976 0.066 0.661
Nd5 Nd 0.976 0.453 0.006
Nd6 Nd 0.476 0.900 0.895
```

Computed properties:
Symmetry: P2_1/m, No. 11
Calculated formation energy, meV per atom: -421
E_tot, eV per cell: -57.827
Crystal system: monoclinic

# 8
# NpGe4Rh6

NpGe4Rh6 after structural relaxation (PBE-GGA, the Alexandria database).

Geometry as CIF:
```
data_NpGe4Rh6
_space_group_name_H-M_alt 'P 1'
_space_group_IT_number 1
_space_group_name_Hall 'P 1'
_cell_length_a 3.839
_cell_length_b 7.232
_cell_length_c 7.232
_cell_angle_alpha 120.00
_cell_angle_beta 90.00
_cell_angle_gamma 90.00
loop_
_atom_site_label
_atom_site_type_symbol
_atom_site_fract_x
_atom_site_fract_y
_atom_site_fract_z
Ge1 Ge 0.500 0.803 0.605
Ge2 Ge 0.500 0.803 0.197
Ge3 Ge 0.500 0.395 0.197
Ge4 Ge 0.000 0.333 0.667
Rh1 Rh 0.000 0.934 0.467
Rh2 Rh 0.500 0.198 0.396
Rh3 Rh 0.000 0.533 0.066
Rh4 Rh 0.000 0.533 0.467
Rh5 Rh 0.500 0.604 0.802
Rh6 Rh 0.500 0.198 0.802
Np1 Np 0.000 0.000 0.000
```

Computed properties:
Symmetry: P-6m2, No. 187
Calculated formation energy, meV per atom: -596
E_tot, eV per cell: -82.070
Crystal system: hexagonal
Polymorph energy (0 for the lowest one), eV/atom: 0.000

# 9
# Pr2ScAg

Pr2ScAg after structural relaxation (PBE-GGA, the Alexandria database).

Geometry as CIF:
```
data_Pr2ScAg
_space_group_name_H-M_alt 'P 1'
_space_group_IT_number 1
_space_group_name_Hall 'P 1'
_cell_length_a 3.797
_cell_length_b 3.797
_cell_length_c 7.993
_cell_angle_alpha 90.00
_cell_angle_beta 90.00
_cell_angle_gamma 90.00
loop_
_atom_site_label
_atom_site_type_symbol
_atom_site_fract_x
_atom_site_fract_y
_atom_site_fract_z
Pr1 Pr 0.000 0.000 0.236
Pr2 Pr 0.000 0.000 0.764
Ag1 Ag 0.500 0.500 0.000
Sc1 Sc 0.500 0.500 0.500
```

Computed properties:
Symmetry: P4/mmm, No. 123
Calculated formation energy, meV per atom: -73
E_tot, eV per cell: -19.035
Crystal system: tetragonal
Polymorph energy (0 for the lowest one), eV/atom: 0.000

# 10
# Tb3Nd4YS8

Tb3Nd4YS8 after structural relaxation (PBE-GGA, the Alexandria database).

Geometry as CIF:
```
data_Tb3Nd4YS8
_space_group_name_H-M_alt 'P 1'
_space_group_IT_number 1
_space_group_name_Hall 'P 1'
_cell_length_a 7.952
_cell_length_b 8.045
_cell_length_c 7.952
_cell_angle_alpha 119.62
_cell_angle_beta 120.00
_cell_angle_gamma 90.00
loop_
_atom_site_label
_atom_site_type_symbol
_atom_site_fract_x
_atom_site_fract_y
_atom_site_fract_z
Nd1 Nd 0.500 0.000 0.000
Nd2 Nd 0.000 0.000 0.000
Nd3 Nd 0.500 0.000 0.500
Nd4 Nd 0.000 0.000 0.500
S1 S 0.245 0.735 0.490
S2 S 0.746 0.735 0.990
S3 S 0.255 0.264 0.510
S4 S 0.755 0.265 0.510
S5 S 0.254 0.265 0.010
S6 S 0.745 0.736 0.490
S7 S 0.245 0.735 0.990
S8 S 0.755 0.265 0.010
Y1 Y 0.000 0.500 0.000
Tb1 Tb 0.500 0.500 0.000
Tb2 Tb 0.500 0.500 0.500
Tb3 Tb 0.000 0.500 0.500
```

Computed properties:
Symmetry: R-3m, No. 166
E_tot, eV per cell: -104.710
Crystal system: trigonal
Formation energy without anion corrections, kJ/mol of formula units: -3113.0